[1]
The following is a SCAN calculation of a PBEsol-optimized structure of Cd2MoAu, from Alexandria.

a b c (Å): 4.3323 4.9008 4.3323
angles (deg): 63.77 90.00 116.23
With the nearest neighbours (Å) after each atom.
Fractional positions:
Au 0.0000 0.0000 0.0000  8 Cd 2.89, 4 Mo 3.06
Cd 0.2500 0.5000 0.2500  4 Mo 2.89, 4 Au 2.89, 4 Cd 3.06
Cd 0.7500 0.5000 0.7500  4 Mo 2.89, 4 Au 2.89, 4 Cd 3.06
Mo 0.5000 0.0000 0.5000  8 Cd 2.89, 4 Au 3.06

Results
theoretical density	11.97	g/cm3
SG	I4/mmm (139)
energy relative to the lowest polymorph listed for this composition	0.74	eV/f.u.
total magnetization	2.88	μB/cell
formation energy	0.342	eV/atom
crystal system	tetragonal


[2]
The following is a SCAN calculation of a PBEsol-optimized structure of Cd2MoAu, from Alexandria.

a b c (Å): 2.8860 2.8860 9.8506
angles (deg): 81.58 81.58 60.00
With the nearest neighbours (Å) after each atom.
Fractional positions:
Au 0.0000 0.0000 0.0000  6 Au 2.89, 6 Cd 2.95
Cd 0.2496 0.2496 0.2513  6 Cd 2.89, 3 Mo 2.93, 3 Au 2.95
Cd 0.7504 0.7504 0.7487  6 Cd 2.89, 3 Mo 2.93, 3 Au 2.95
Mo 0.5000 0.5000 0.5000  6 Mo 2.89, 6 Cd 2.93

Results
theoretical density	12.28	g/cm3
SG	R-3m (166)
energy relative to the lowest polymorph listed for this composition	0.27	eV/f.u.
total magnetization	0.00	μB/cell
formation energy	0.225	eV/atom
crystal system	trigonal


[3]
The following is a SCAN calculation of a PBEsol-optimized structure of Cd2MoAu, from Alexandria.

a b c (Å): 2.8471 2.8471 8.6797
angles (deg): 90.00 90.00 90.00
With the nearest neighbours (Å) after each atom.
Fractional positions:
Au 0.5000 0.5000 0.7369  4 Mo 2.81, 4 Au 2.85, 4 Cd 2.98
Cd 0.0000 0.0000 0.9894  8 Cd 2.85-3.11, 4 Au 2.98
Cd 0.5000 0.5000 0.2627  8 Cd 2.85-3.11, 4 Mo 2.95
Mo 0.0000 0.0000 0.5110  4 Au 2.81, 4 Mo 2.85, 4 Cd 2.95

Results
theoretical density	12.22	g/cm3
SG	P4mm (99)
energy relative to the lowest polymorph listed for this composition	0.00	eV/f.u.
total magnetization	0.00	μB/cell
formation energy	0.156	eV/atom
crystal system	tetragonal


[4]
The following is a SCAN calculation of a PBEsol-optimized structure of Cd4MoAu, from Alexandria.

a b c (Å): 5.4882 5.4882 5.4882
angles (deg): 60.00 60.00 60.00
With the nearest neighbours (Å) after each atom.
Fractional positions:
Au 0.0000 0.0000 0.0000  12 Cd 3.22, 4 Mo 3.36
Cd 0.3751 0.3751 0.3751  6 Cd 2.74-2.75
Cd 0.3751 0.3751 0.8748  6 Cd 2.74-2.75
Cd 0.8748 0.3751 0.3751  6 Cd 2.74-2.75
Cd 0.3751 0.8748 0.3751  6 Cd 2.74-2.75
Mo 0.7500 0.7500 0.7500  12 Cd 3.22, 4 Au 3.36

Results
theoretical density	10.55	g/cm3
SG	F-43m (216)
total magnetization	4.18	μB/cell
formation energy	0.492	eV/atom
crystal system	cubic


| no. | density of states at the Fermi level (states/eV/atom) |
| --- | --- |
| 1 | 0.3455 |
| 2 | 0.4381 |
| 3 | 0.5437 |
| 4 | 0.4559 |